Entry 1:
Material: LiCr2B
Method: DFT, PBE
State: relaxed

Cell and atoms, written as extended XYZ:
```
8
Lattice="-1.202 -2.100 -2.256 3.009 -1.321 -0.373 -0.694 -6.975 4.438" Properties=species:S:1:pos:R:3 pbc="T T T"
Cr 0.095 -2.096 0.861
Cr 0.913 -3.957 -0.614
Cr 1.770 -7.222 2.142
Cr -0.551 -7.517 1.228
B 0.000 0.000 0.000
B -0.496 -5.393 0.434
Li 0.904 -1.710 -1.314
Li 1.610 -5.003 1.375
```

- ΔH_f (0 K) (meV/atom) = 808
- symmetry = I-42d, No. 122
- total magnetic moment (μB per formula unit) = 0.0

Entry 2:
Material: AcPaCSe
Method: DFT, PBE
State: relaxed

Cell and atoms, written as extended XYZ:
```
8
Lattice="4.002 0.000 0.000 2.001 3.466 0.000 2.001 1.155 14.797" Properties=species:S:1:pos:R:3 pbc="T T T"
Ac 6.004 3.466 9.164
Ac 2.001 1.155 5.633
Pa 4.002 2.311 1.422
Pa 4.002 2.311 13.376
C 6.004 3.466 13.908
C 2.001 1.155 0.889
Se 2.001 1.155 11.334
Se 6.004 3.466 3.463
```

- symmetry = R-3m, No. 166
- total magnetic moment (μB per formula unit) = 0.2
- formation energy from raw total energies (eV per atom) = -0.862